Entry from Alexandria: TiOsI3 after structural relaxation (GGA-PBE).

Output
VASP energy   -3.6409 eV/atom
Offset from the most stable computed form   1 kJ/mol of formula units
N(E_F)   14.4 states/eV/f.u.
Spin magnetization   0.0 μB per cell
Uncorrected formation energy   1.114 eV per atom

Structure (CIF):
```
data_TiOsI3
_chemical_formula_sum 'Ti1 Os1 I3'
_symmetry_space_group_name_H-M 'P 1'
_symmetry_Int_Tables_number 1
_cell_length_a 5.351
_cell_length_b 5.351
_cell_length_c 5.351
_cell_angle_alpha 90.00
_cell_angle_beta 90.00
_cell_angle_gamma 90.00
loop_
_symmetry_equiv_pos_as_xyz
'x,y,z'
loop_
_atom_site_label
_atom_site_fract_x
_atom_site_fract_y
_atom_site_fract_z
_atom_site_occupancy
Ti1 0.000 0.000 0.000 1
Os1 0.500 0.500 0.500 1
I1 0.000 0.500 0.500 1
I2 0.500 0.000 0.500 1
I3 0.500 0.500 0.000 1
```



Entry from Alexandria: TlOs2I after structural relaxation (GGA-PBE).

Output
VASP energy   -5.0237 eV/atom
Offset from the most stable computed form   0 kJ/mol of formula units
N(E_F)   4.3 states/eV/f.u.
Spin magnetization   0.0 μB per cell
Uncorrected formation energy   1.570 eV per atom

Structure (CIF):
```
data_TlOs2I
_chemical_formula_sum 'Tl4 Os8 I4'
_symmetry_space_group_name_H-M 'P 1'
_symmetry_Int_Tables_number 1
_cell_length_a 6.686
_cell_length_b 6.686
_cell_length_c 6.686
_cell_angle_alpha 90.00
_cell_angle_beta 90.00
_cell_angle_gamma 90.00
loop_
_symmetry_equiv_pos_as_xyz
'x,y,z'
loop_
_atom_site_label
_atom_site_fract_x
_atom_site_fract_y
_atom_site_fract_z
_atom_site_occupancy
Tl1 0.000 0.000 0.000 1
Tl2 0.000 0.500 0.500 1
Tl3 0.500 0.000 0.500 1
Tl4 0.500 0.500 0.000 1
Os1 0.250 0.250 0.250 1
Os2 0.250 0.250 0.750 1
Os3 0.250 0.750 0.250 1
Os4 0.250 0.750 0.750 1
Os5 0.750 0.250 0.250 1
Os6 0.750 0.250 0.750 1
Os7 0.750 0.750 0.250 1
Os8 0.750 0.750 0.750 1
I1 0.000 0.000 0.500 1
I2 0.000 0.500 0.000 1
I3 0.500 0.000 0.000 1
I4 0.500 0.500 0.500 1
```



Entry from Alexandria: TlOs3I after structural relaxation (GGA-PBE).

Output
VASP energy   -4.8485 eV/atom
Offset from the most stable computed form   0 kJ/mol of formula units
N(E_F)   8.2 states/eV/f.u.
Spin magnetization   4.7 μB per cell
Uncorrected formation energy   2.673 eV per atom

Structure (CIF):
```
data_TlOs3I
_chemical_formula_sum 'Tl1 Os3 I1'
_symmetry_space_group_name_H-M 'P 1'
_symmetry_Int_Tables_number 1
_cell_length_a 4.924
_cell_length_b 4.924
_cell_length_c 4.924
_cell_angle_alpha 90.00
_cell_angle_beta 90.00
_cell_angle_gamma 90.00
loop_
_symmetry_equiv_pos_as_xyz
'x,y,z'
loop_
_atom_site_label
_atom_site_fract_x
_atom_site_fract_y
_atom_site_fract_z
_atom_site_occupancy
Tl1 0.000 0.000 0.000 1
Os1 0.000 0.500 0.500 1
Os2 0.500 0.000 0.500 1
Os3 0.500 0.500 0.000 1
I1 0.500 0.500 0.500 1
```